PmYThSc: relaxed, GGA-PBE.

ρ   6.95 Mg/m³
ΔE_f   98 meV/atom
Size of the total moment   0.00 μB per formula unit
Energy relative to the lowest polymorph listed for this composition   0.000 eV per atom

Cell and atoms, written as POSCAR:
```
PmYThSc
1.0
5.356 0.000 0.000
0.000 1.720 6.624
0.000 -1.720 6.624
Pm Y Th Sc
1 1 1 1
Direct
0.000 0.000 0.000
0.500 0.133 0.133
0.500 0.379 0.379
0.000 0.746 0.746
```

---

Pm2Y5ThSc: relaxed, GGA-PBE.

ρ   5.65 Mg/m³
ΔE_f   170 meV/atom
Size of the total moment   0.00 μB per formula unit

Cell and atoms, written as POSCAR:
```
Pm2Y5ThSc
1.0
2.844 -10.924 0.000
2.844 10.924 0.000
0.000 0.000 9.561
Pm Y Th Sc
4 10 2 2
Direct
0.115 0.885 0.500
0.133 0.867 0.895
0.867 0.133 0.395
0.885 0.115 0.000
0.013 0.987 0.193
0.267 0.733 0.517
0.304 0.696 0.900
0.390 0.610 0.226
0.473 0.527 0.930
0.527 0.473 0.430
0.610 0.390 0.726
0.696 0.304 0.400
0.733 0.267 0.017
0.987 0.013 0.693
0.400 0.600 0.613
0.600 0.400 0.113
0.192 0.808 0.198
0.808 0.192 0.698
```

---

PmYThSc: relaxed, GGA-PBE.

ρ   6.86 Mg/m³
ΔE_f   157 meV/atom
Size of the total moment   0.00 μB per formula unit
Energy relative to the lowest polymorph listed for this composition   0.059 eV per atom

Cell and atoms, written as POSCAR:
```
PmYThSc
1.0
0.000 3.955 3.955
3.955 0.000 3.955
3.955 3.955 0.000
Pm Y Th Sc
1 1 1 1
Direct
0.000 0.000 0.000
0.250 0.250 0.250
0.750 0.750 0.750
0.500 0.500 0.500
```

---

PmThZrSc: relaxed, GGA-PBE.

ρ   7.63 Mg/m³
ΔE_f   121 meV/atom
Size of the total moment   0.00 μB per formula unit

Cell and atoms, written as POSCAR:
```
PmThZrSc
1.0
0.000 3.822 3.822
3.822 0.000 3.822
3.822 3.822 0.000
Pm Th Zr Sc
1 1 1 1
Direct
0.000 0.000 0.000
0.500 0.500 0.500
0.250 0.250 0.250
0.750 0.750 0.750
```

---

PmSc2Ti: relaxed, GGA-PBE.

ρ   4.81 Mg/m³
ΔE_f   180 meV/atom
Size of the total moment   0.31 μB per formula unit
Energy relative to the lowest polymorph listed for this composition   0.034 eV per atom

Cell and atoms, written as POSCAR:
```
PmSc2Ti
1.0
4.576 0.000 0.000
0.000 4.576 0.000
0.000 0.000 4.663
Pm Sc Ti
1 2 1
Direct
0.000 0.000 0.000
0.000 0.500 0.500
0.500 0.000 0.500
0.500 0.500 0.000
```

---

PmSc2Ti: relaxed, GGA-PBE.

ρ   4.81 Mg/m³
ΔE_f   159 meV/atom
Size of the total moment   0.00 μB per formula unit
Energy relative to the lowest polymorph listed for this composition   0.013 eV per atom

Cell and atoms, written as POSCAR:
```
PmSc2Ti
1.0
1.633 0.943 10.574
-1.633 0.943 10.574
0.000 -1.885 10.574
Pm Sc Ti
1 2 1
Direct
0.000 0.000 0.000
0.241 0.241 0.241
0.759 0.759 0.759
0.500 0.500 0.500
```